Crystalline H6ClF12 at its relaxed geometry. Source: the Alexandria database, functional PBE.

Cell: 6.6054 6.6054 6.6054 Å, 82.60 82.60 82.60°
Atoms (fractional coordinates):
1 H 0.5113 0.7069 0.2633
2 H 0.7069 0.2633 0.5113
3 H 0.2931 0.7366 0.4887
4 H 0.2633 0.5113 0.7069
5 H 0.7366 0.4887 0.2931
6 H 0.4887 0.2931 0.7366
7 F 0.1750 0.6032 0.6084
8 F 0.3968 0.3916 0.8250
9 F 0.0169 0.0158 0.7374
10 F 0.6084 0.1750 0.6032
11 F 0.3916 0.8250 0.3968
12 F 0.2626 0.9831 0.9842
13 F 0.8250 0.3968 0.3916
14 F 0.0158 0.7374 0.0169
15 F 0.7374 0.0169 0.0158
16 F 0.9831 0.9842 0.2626
17 F 0.9842 0.2626 0.9831
18 F 0.6032 0.6084 0.1750
19 Cl 0.0000 0.0000 0.0000

## Properties
magnetic moment = 1.03 μB/f.u.
calculated density = 1.6 g/cm3
DFT total energy = -3.520 eV per atom